Compound: MgNb2FeAs
Source: the Alexandria database
Functional: PBE-GGA
Structure: optimized geometry

Properties
As for the calculated formation energy: 3.21 eV/f.u.

CIF file:
```
data_MgNb2FeAs
_chemical_formula_sum 'Mg1 Nb2 Fe1 As1'
_space_group_name_H-M_alt 'P 4/m m m'
_space_group_IT_number 123
_space_group_name_Hall '-P 4 2'
_cell_length_a 4.810
_cell_length_b 4.810
_cell_length_c 4.315
_cell_angle_alpha 90.00
_cell_angle_beta 90.00
_cell_angle_gamma 90.00
loop_
_atom_site_label
_atom_site_type_symbol
_atom_site_fract_x
_atom_site_fract_y
_atom_site_fract_z
_atom_site_occupancy
Mg1 Mg 0.000 0.000 0.000 1
Nb1 Nb 0.000 0.500 0.500 1
Fe1 Fe 0.500 0.500 0.000 1
As1 As 0.500 0.500 0.500 1
```